Entry 1:
Here is a geometry-optimized ScSb2Pt structure from Alexandria via LeMat-Bulk. Energies are from PBE-GGA.

SG: No. 160
Calculated total energy (eV/atom): -5.574
Calculated volume (Å³ per atom): 24.2
Polymorph energy (0 for the lowest one) (eV per formula unit): 0.57
Formation energy from raw total energies (eV per atom): -0.42

Cell: 7.694 7.694 7.694 Å, 29.32 29.32 29.32°
Sites, in units of the cell vectors:
Sb 0.011 0.011 0.011
Sb 0.250 0.250 0.250
Pt 0.753 0.753 0.753
Sc 0.486 0.486 0.486

Entry 2:
Here is a geometry-optimized ScSbPt2 structure from Alexandria via LeMat-Bulk. Energies are from PBE-GGA.

SG: No. 65
Calculated total energy (eV/atom): -6.417
Calculated volume (Å³ per atom): 18.5
Formation energy from raw total energies (eV per atom): -0.78

Cell: 4.439 6.963 3.782 Å, 57.00 90.07 123.52°
Sites, in units of the cell vectors:
Pt 0.000 0.500 0.500
Pt 0.000 0.000 0.000
Sc 0.500 0.000 0.500
Sb 0.500 0.500 0.000

Entry 3:
Here is a geometry-optimized Sc2SbPt9 structure from Alexandria via LeMat-Bulk. Energies are from PBE-GGA.

SG: No. 123
Calculated total energy (eV/atom): -6.719
Calculated volume (Å³ per atom): 16.4
Formation energy from raw total energies (eV per atom): -0.79

Cell: 4.024 4.024 12.143 Å, 90.00 90.00 90.00°
Sites, in units of the cell vectors:
Pt 0.500 0.000 0.500
Pt 0.500 0.000 0.172
Pt 0.000 0.500 0.828
Pt 0.500 0.500 0.335
Pt 0.500 0.500 0.000
Pt 0.500 0.500 0.665
Pt 0.000 0.500 0.172
Pt 0.500 0.000 0.828
Pt 0.000 0.500 0.500
Sc 0.000 0.000 0.662
Sc 0.000 0.000 0.338
Sb 0.000 0.000 0.000

Entry 4:
Here is a geometry-optimized ScSbPt2 structure from Alexandria via LeMat-Bulk. Energies are from PBE-GGA.

SG: No. 99
Calculated total energy (eV/atom): -6.340
Calculated volume (Å³ per atom): 19.5
Formation energy from raw total energies (eV per atom): -0.71

Cell: 3.707 3.707 5.668 Å, 90.00 90.00 90.00°
Sites, in units of the cell vectors:
Sc 0.500 0.500 0.797
Pt 0.500 0.500 0.294
Pt 0.000 0.000 0.964
Sb 0.000 0.000 0.445

Entry 5:
Here is a geometry-optimized ScSb2Pt structure from Alexandria via LeMat-Bulk. Energies are from PBE-GGA.

SG: No. 225
Calculated total energy (eV/atom): -5.442
Calculated volume (Å³ per atom): 21.4
Polymorph energy (0 for the lowest one) (eV per formula unit): 1.10
Formation energy from raw total energies (eV per atom): -0.29

Cell: 4.947 4.947 4.947 Å, 60.00 60.00 60.00°
Sites, in units of the cell vectors:
Pt 0.500 0.500 0.500
Sb 0.750 0.750 0.750
Sb 0.250 0.250 0.250
Sc 0.000 0.000 0.000

Entry 6:
Here is a geometry-optimized ScSb2Pt structure from Alexandria via LeMat-Bulk. Energies are from PBE-GGA.

SG: No. 123
Calculated total energy (eV/atom): -5.699
Calculated volume (Å³ per atom): 20.8
Polymorph energy (0 for the lowest one) (eV per formula unit): 0.08
Formation energy from raw total energies (eV per atom): -0.54

Cell: 4.675 4.675 3.808 Å, 90.00 90.00 89.99°
Sites, in units of the cell vectors:
Sb 0.500 0.500 0.000
Sb 0.000 0.000 0.000
Pt 0.000 0.500 0.500
Sc 0.500 0.000 0.500

Entry 7:
Here is a geometry-optimized ScSbPt2 structure from Alexandria via LeMat-Bulk. Energies are from PBE-GGA.

SG: No. 216
Calculated total energy (eV/atom): -6.231
Calculated volume (Å³ per atom): 18.4
Formation energy from raw total energies (eV per atom): -0.60

Cell: 4.703 4.703 4.703 Å, 60.00 60.00 60.00°
Sites, in units of the cell vectors:
Sc 0.250 0.250 0.250
Sb 0.500 0.500 0.500
Pt 0.750 0.750 0.750
Pt 0.000 0.000 0.000

Entry 8:
Here is a geometry-optimized ScSbPt2 structure from Alexandria via LeMat-Bulk. Energies are from PBE-GGA.

SG: No. 38
Calculated total energy (eV/atom): -6.425
Calculated volume (Å³ per atom): 19.5
Formation energy from raw total energies (eV per atom): -0.79

Cell: 5.454 5.454 4.187 Å, 90.02 90.02 38.75°
Sites, in units of the cell vectors:
Sc 0.235 0.235 0.125
Sb 0.522 0.522 0.625
Pt 0.963 0.963 0.125
Pt 0.780 0.780 0.625

Entry 9:
Here is a geometry-optimized ScSb2Pt structure from Alexandria via LeMat-Bulk. Energies are from PBE-GGA.

SG: No. 71
Calculated total energy (eV/atom): -5.628
Calculated volume (Å³ per atom): 25.0
Polymorph energy (0 for the lowest one) (eV per formula unit): 0.36
Formation energy from raw total energies (eV per atom): -0.47

Cell: 6.762 6.762 6.762 Å, 148.50 141.63 50.46°
Sites, in units of the cell vectors:
Sb 0.419 0.419 0.000
Sb 0.081 0.081 0.000
Sc 0.750 0.250 0.500
Pt 0.250 0.750 0.500

Entry 10:
Here is a geometry-optimized ScSbPt2 structure from Alexandria via LeMat-Bulk. Energies are from PBE-GGA.

SG: No. 123
Calculated total energy (eV/atom): -6.449
Calculated volume (Å³ per atom): 18.7
Formation energy from raw total energies (eV per atom): -0.82

Cell: 3.591 3.591 5.811 Å, 90.00 90.00 90.01°
Sites, in units of the cell vectors:
Pt 0.000 0.000 0.511
Pt 0.000 0.000 0.989
Sc 0.500 0.500 0.750
Sb 0.500 0.500 0.250

Entry 11:
Here is a geometry-optimized ScSb3Pt structure from Alexandria via LeMat-Bulk. Energies are from PBE-GGA.

SG: No. 221
Calculated total energy (eV/atom): -4.292
Calculated volume (Å³ per atom): 30.3
Polymorph energy (0 for the lowest one) (eV per formula unit): 2.21
Formation energy from raw total energies (eV per atom): 0.66

Cell: 5.333 5.333 5.333 Å, 90.00 90.00 90.00°
Sites, in units of the cell vectors:
Sb 0.000 0.500 0.000
Sb 0.500 0.000 0.000
Sb 0.000 0.000 0.500
Sc 0.000 0.000 0.000
Pt 0.500 0.500 0.500

Entry 12:
Here is a geometry-optimized ScSb2Pt structure from Alexandria via LeMat-Bulk. Energies are from PBE-GGA.

SG: No. 10
Calculated total energy (eV/atom): -5.593
Calculated volume (Å³ per atom): 23.8
Polymorph energy (0 for the lowest one) (eV per formula unit): 0.50
Formation energy from raw total energies (eV per atom): -0.44

Cell: 4.268 4.757 4.798 Å, 77.65 90.00 90.00°
Sites, in units of the cell vectors:
Sb 0.000 0.968 0.970
Sb 0.000 0.532 0.530
Sc 0.500 0.250 0.250
Pt 0.500 0.750 0.750